DFT (PBE) results for an optimized crystal structure of Ba6AsP3.

```
data_Ba6AsP3
_cell_length_a 8.2385
_cell_length_b 8.2385
_cell_length_c 21.7094
_cell_angle_alpha 90.00
_cell_angle_beta 90.00
_cell_angle_gamma 120.00
_symmetry_space_group_name_H-M 'R 3'
_symmetry_Int_Tables_number 146
_symmetry_space_group_name_Hall 'R 3'
loop_
_atom_site_label
_atom_site_fract_x
_atom_site_fract_y
_atom_site_fract_z
Ba1 0.0034 0.7045 0.0000
Ba2 0.0107 0.2965 0.5012
As1 0.0000 0.0000 0.1081
P1 0.0000 0.0000 0.3973
P2 0.0000 0.0000 0.6055
P3 0.0000 0.0000 0.8990
```

As for the crystal system: trigonal. The calculation puts the energy of formation at -0.986 eV/atom. The uncorrected energy comes out at -4.227 eV/atom.